Entry from Alexandria: an optimized crystal structure of TlAgIr2 (PBE).

Cell: 4.1003 4.1003 8.1522 Å, 90.00 90.00 90.00°
Last column: nearest neighbours and their distance in Å.
Space group I4/mmm (No. 139)
Unique sites:
Tl 0.0000 0.0000 0.0000 [2 per cell]  8 Ir 2.89, 4 Ag 2.90
Ag 0.0000 0.0000 0.5000 [2 per cell]  8 Ir 2.89, 4 Tl 2.90
Ir 0.0000 0.5000 0.2500 [4 per cell]  4 Tl 2.89, 4 Ag 2.89, 4 Ir 2.90

Values from the calculation:
Energy of formation   0.589 eV/atom
Total magnetic moment   0.00 μB per cell
Theoretical density   16881 kg/m3
Excess energy over the best structure of this formula in the dataset   4.46 kcal/mol of atoms